1.
Crystalline CeBRu2 at its relaxed geometry, computed with GGA-PBE.

a b c (Å): 5.836 4.219 10.052
angles (deg): 90.00 90.00 90.00
Fractional positions:
Ce  0.076  0.250  0.117
Ce  0.424  0.750  0.617
Ce  0.576  0.250  0.383
Ce  0.924  0.750  0.883
B  0.122  0.750  0.406
B  0.378  0.250  0.906
B  0.622  0.750  0.094
B  0.878  0.250  0.594
Ru  0.070  0.250  0.413
Ru  0.168  0.250  0.741
Ru  0.332  0.750  0.241
Ru  0.430  0.750  0.913
Ru  0.570  0.250  0.087
Ru  0.668  0.250  0.759
Ru  0.832  0.750  0.259
Ru  0.930  0.750  0.587

**Space-group type**: No. 62
**E_tot**: -8.2266 eV/atom


2.
Crystalline Ba2CdPd2 at its relaxed geometry, computed with GGA-PBE.

a b c (Å): 10.040 10.040 10.040
angles (deg): 156.81 156.81 33.03
Fractional positions:
Ba  0.123  0.123  0.000
Ba  0.877  0.877  0.000
Cd  0.500  0.500  0.000
Pd  0.250  0.750  0.500
Pd  0.750  0.250  0.500

**Space-group type**: No. 139
**E_tot**: -3.2876 eV/atom


3.
Crystalline HoErZnSi at its relaxed geometry, computed with GGA-PBE.

a b c (Å): 4.938 4.938 4.938
angles (deg): 60.00 60.00 60.00
Fractional positions:
Ho  0.000  0.000  0.000
Er  0.500  0.500  0.500
Zn  0.250  0.250  0.250
Si  0.750  0.750  0.750

**Offset from the most stable computed form**: 0.47 eV per formula unit
**Space-group type**: No. 216
**Energy relative to the elements, uncorrected**: -0.456 eV/atom
**E_tot**: -4.4153 eV/atom


4.
Crystalline Sr2InTePt at its relaxed geometry, computed with GGA-PBE.

a b c (Å): 5.849 5.849 5.107
angles (deg): 90.00 90.00 90.00
Fractional positions:
Sr  0.000  0.500  0.000
Sr  0.500  0.000  0.000
In  0.000  0.000  0.500
Te  0.500  0.500  0.500
Pt  0.000  0.000  0.000

**Space-group type**: No. 123
**Energy relative to the elements, uncorrected**: -0.851 eV/atom
**E_tot**: -3.9084 eV/atom


5.
Crystalline HoScTc at its relaxed geometry, computed with GGA-PBE.

a b c (Å): 8.318 4.967 6.482
angles (deg): 90.00 90.00 90.00
Fractional positions:
Ho  0.048  0.250  0.178
Ho  0.452  0.750  0.678
Ho  0.548  0.250  0.322
Ho  0.952  0.750  0.822
Sc  0.186  0.250  0.636
Sc  0.314  0.750  0.136
Sc  0.686  0.250  0.864
Sc  0.814  0.750  0.364
Tc  0.126  0.750  0.443
Tc  0.374  0.250  0.943
Tc  0.626  0.750  0.057
Tc  0.874  0.250  0.557

**Offset from the most stable computed form**: 0.26 eV per formula unit
**Space-group type**: No. 62
**E_tot**: -7.1306 eV/atom


6.
Crystalline Ba2FeAg at its relaxed geometry, computed with GGA-PBE.

a b c (Å): 4.740 6.619 6.619
angles (deg): 42.61 90.00 90.00
Fractional positions:
Ba  0.000  0.000  0.000
Ba  0.500  0.283  0.283
Fe  0.000  0.688  0.688
Ag  0.500  0.586  0.586

**Offset from the most stable computed form**: 0.19 eV per formula unit
**Space-group type**: No. 38
**E_tot**: -3.5172 eV/atom


7.
Crystalline AcNiSb3 at its relaxed geometry, computed with GGA-PBE.

a b c (Å): 13.488 6.306 6.222
angles (deg): 90.00 90.00 90.00
Fractional positions:
Ac  0.198  0.002  0.250
Ac  0.198  0.498  0.750
Ac  0.802  0.502  0.250
Ac  0.802  0.998  0.750
Ni  0.410  0.250  0.000
Ni  0.410  0.250  0.500
Ni  0.590  0.750  0.000
Ni  0.590  0.750  0.500
Sb  0.001  0.250  0.000
Sb  0.001  0.250  0.500
Sb  0.299  0.501  0.250
Sb  0.299  0.999  0.750
Sb  0.452  0.598  0.750
Sb  0.452  0.902  0.250
Sb  0.548  0.098  0.750
Sb  0.548  0.402  0.250
Sb  0.701  0.001  0.250
Sb  0.701  0.499  0.750
Sb  0.999  0.750  0.000
Sb  0.999  0.750  0.500

**Offset from the most stable computed form**: 0.00 eV per formula unit
**Space-group type**: No. 57
**Energy relative to the elements, uncorrected**: -0.563 eV/atom
**E_tot**: -5.0148 eV/atom


8.
Crystalline ZnAs2Pt at its relaxed geometry, computed with GGA-PBE.

a b c (Å): 5.000 5.000 5.000
angles (deg): 134.57 127.82 71.64
Fractional positions:
Zn  0.000  0.000  0.000
As  0.257  0.757  0.500
As  0.525  0.525  0.000
Pt  0.752  0.252  0.500

**Space-group type**: No. 44
**E_tot**: -4.0745 eV/atom


9.
Crystalline BeIrSe at its relaxed geometry, computed with GGA-PBE.

a b c (Å): 4.053 4.053 4.053
angles (deg): 60.00 60.00 60.00
Fractional positions:
Be  0.000  0.000  0.000
Ir  0.750  0.750  0.750
Se  0.500  0.500  0.500

**Offset from the most stable computed form**: 0.00 eV per formula unit
**Space-group type**: No. 216
**Energy relative to the elements, uncorrected**: 0.071 eV/atom
**E_tot**: -5.2867 eV/atom


10.
Crystalline Cs2BaCaHf at its relaxed geometry, computed with GGA-PBE.

a b c (Å): 7.250 7.250 6.190
angles (deg): 90.00 90.00 90.00
Fractional positions:
Cs  0.000  0.500  0.000
Cs  0.500  0.000  0.000
Ba  0.000  0.000  0.500
Ca  0.500  0.500  0.000
Hf  0.500  0.500  0.500

**Space-group type**: No. 123
**E_tot**: -1.9923 eV/atom


11.
Crystalline Na2Sr2TaO6 at its relaxed geometry, computed with GGA-PBE.

a b c (Å): 6.123 6.123 5.924
angles (deg): 97.93 97.93 119.28
Fractional positions:
Na  0.138  0.862  0.000
Na  0.862  0.138  0.000
Sr  0.340  0.660  0.500
Sr  0.660  0.340  0.500
Ta  0.000  0.000  0.500
O  0.040  0.323  0.695
O  0.215  0.215  0.300
O  0.323  0.040  0.695
O  0.677  0.960  0.305
O  0.785  0.785  0.700
O  0.960  0.677  0.305

**Space-group type**: No. 12
**Energy relative to the elements, uncorrected**: -2.339 eV/atom
**E_tot**: -6.6671 eV/atom


12.
Crystalline AcCdGe2Au5 at its relaxed geometry, computed with GGA-PBE.

a b c (Å): 4.739 4.739 9.748
angles (deg): 90.00 90.00 90.00
Fractional positions:
Ac  0.000  0.000  0.000
Cd  0.000  0.000  0.500
Ge  0.500  0.500  0.250
Ge  0.500  0.500  0.750
Au  0.000  0.500  0.335
Au  0.000  0.500  0.665
Au  0.500  0.000  0.335
Au  0.500  0.000  0.665
Au  0.500  0.500  0.000

**Space-group type**: No. 123
**E_tot**: -3.6180 eV/atom


13.
Crystalline Mg2RuSe at its relaxed geometry, computed with GGA-PBE.

a b c (Å): 3.476 3.476 5.807
angles (deg): 90.00 90.00 90.00
Fractional positions:
Mg  0.000  0.000  0.000
Mg  0.500  0.500  0.297
Ru  0.000  0.000  0.494
Se  0.500  0.500  0.770

**Space-group type**: No. 99
**Energy relative to the elements, uncorrected**: -0.056 eV/atom
**E_tot**: -4.0437 eV/atom


14.
Crystalline KLaCr at its relaxed geometry, computed with GGA-PBE.

a b c (Å): 3.788 3.788 8.877
angles (deg): 90.00 90.00 120.00
Fractional positions:
K  0.000  0.000  0.000
La  0.667  0.333  0.433
Cr  0.333  0.667  0.672

**Offset from the most stable computed form**: 0.24 eV per formula unit
**Space-group type**: No. 156
**E_tot**: -4.4407 eV/atom


15.
Crystalline Cd2PbW at its relaxed geometry, computed with GGA-PBE.

a b c (Å): 11.050 11.050 11.050
angles (deg): 15.95 15.95 15.95
Fractional positions:
Cd  0.240  0.240  0.240
Cd  0.760  0.760  0.760
Pb  0.000  0.000  0.000
W  0.500  0.500  0.500

**Space-group type**: No. 166
**E_tot**: -4.0544 eV/atom


16.
Crystalline SrSc2Ir2 at its relaxed geometry, computed with GGA-PBE.

a b c (Å): 8.090 8.090 3.154
angles (deg): 90.00 90.00 90.00
Fractional positions:
Sr  0.000  0.000  0.000
Sr  0.500  0.500  0.000
Sc  0.138  0.362  0.500
Sc  0.362  0.862  0.500
Sc  0.638  0.138  0.500
Sc  0.862  0.638  0.500
Ir  0.150  0.650  0.000
Ir  0.350  0.150  0.000
Ir  0.650  0.850  0.000
Ir  0.850  0.350  0.000

**Offset from the most stable computed form**: 0.65 eV per formula unit
**Space-group type**: No. 127
**E_tot**: -6.9890 eV/atom


17.
Crystalline NaGe3 at its relaxed geometry, computed with GGA-PBE.

a b c (Å): 4.005 4.005 5.739
angles (deg): 90.00 90.00 90.00
Fractional positions:
Na  0.000  0.000  0.000
Ge  0.000  0.500  0.556
Ge  0.500  0.000  0.556
Ge  0.500  0.500  0.241

**Offset from the most stable computed form**: 0.00 eV per formula unit
**Space-group type**: No. 99
**E_tot**: -3.7550 eV/atom


18.
Crystalline Zr2Cd2Hg at its relaxed geometry, computed with GGA-PBE.

a b c (Å): 8.159 8.159 3.569
angles (deg): 90.00 90.00 90.00
Fractional positions:
Zr  0.145  0.355  0.000
Zr  0.355  0.855  0.000
Zr  0.645  0.145  0.000
Zr  0.855  0.645  0.000
Cd  0.152  0.652  0.500
Cd  0.348  0.152  0.500
Cd  0.652  0.848  0.500
Cd  0.848  0.348  0.500
Hg  0.000  0.000  0.000
Hg  0.500  0.500  0.000

**Offset from the most stable computed form**: 1.26 eV per formula unit
**Space-group type**: No. 127
**E_tot**: -3.6690 eV/atom


19.
Crystalline La3Zn3Ru2 at its relaxed geometry, computed with GGA-PBE.

a b c (Å): 5.715 5.715 16.816
angles (deg): 90.00 90.00 138.37
Fractional positions:
La  0.060  0.940  0.604
La  0.060  0.940  0.896
La  0.334  0.666  0.750
La  0.666  0.334  0.250
La  0.940  0.060  0.104
La  0.940  0.060  0.396
Zn  0.334  0.666  0.531
Zn  0.334  0.666  0.969
Zn  0.374  0.626  0.250
Zn  0.626  0.374  0.750
Zn  0.666  0.334  0.031
Zn  0.666  0.334  0.469
Ru  0.236  0.764  0.120
Ru  0.236  0.764  0.380
Ru  0.764  0.236  0.620
Ru  0.764  0.236  0.880

**Space-group type**: No. 63
**E_tot**: -4.9380 eV/atom


20.
Crystalline Rb4Ce3YSe8 at its relaxed geometry, computed with GGA-PBE.

a b c (Å): 9.451 9.451 9.451
angles (deg): 55.11 55.11 55.11
Fractional positions:
Rb  0.000  0.000  0.000
Rb  0.000  0.500  0.500
Rb  0.500  0.000  0.500
Rb  0.500  0.500  0.000
Ce  0.000  0.000  0.500
Ce  0.000  0.500  0.000
Ce  0.500  0.000  0.000
Y  0.500  0.500  0.500
Se  0.233  0.233  0.233
Se  0.240  0.729  0.729
Se  0.271  0.271  0.760
Se  0.271  0.760  0.271
Se  0.729  0.240  0.729
Se  0.729  0.729  0.240
Se  0.760  0.271  0.271
Se  0.767  0.767  0.767

**Space-group type**: No. 166
**Energy relative to the elements, uncorrected**: -1.687 eV/atom
**E_tot**: -5.1874 eV/atom


21.
Crystalline TiSb2Pb at its relaxed geometry, computed with GGA-PBE.

a b c (Å): 3.509 3.509 8.072
angles (deg): 90.00 90.00 90.00
Fractional positions:
Ti  0.000  0.000  0.000
Sb  0.500  0.500  0.195
Sb  0.500  0.500  0.805
Pb  0.000  0.000  0.500

**Space-group type**: No. 123
**Energy relative to the elements, uncorrected**: -0.125 eV/atom
**E_tot**: -5.0874 eV/atom